U2Si4AgPt3 | GGA-PBE | relaxed

Computed properties:
- Uncorrected energy: -7.133 eV per atom
- ΔE_f (raw): -609 meV/atom
- Density of states at the Fermi level: 15.29 states/eV/cell

POSCAR file:
```
U2Si4AgPt3
1.0
4.204 0.000 0.000
0.000 4.204 0.000
0.000 0.000 10.020
U Si Ag Pt
2 4 1 3
direct
0.000 0.500 0.244
0.500 0.000 0.756
0.000 0.000 0.000
0.000 0.500 0.641
0.500 0.000 0.359
0.500 0.500 0.000
0.000 0.000 0.500
0.000 0.500 0.880
0.500 0.000 0.120
0.500 0.500 0.500
```

=====

U2Si3AgPt4 | GGA-PBE | relaxed

Computed properties:
- Uncorrected energy: -7.183 eV per atom
- ΔE_f (raw): -597 meV/atom
- Density of states at the Fermi level: 18.01 states/eV/cell

POSCAR file:
```
U2Si3AgPt4
1.0
4.014 0.000 0.000
0.000 4.014 0.000
0.000 0.000 11.166
U Si Ag Pt
2 3 1 4
direct
0.000 0.500 0.245
0.500 0.000 0.755
0.000 0.500 0.872
0.500 0.000 0.128
0.500 0.500 0.500
0.000 0.000 0.500
0.000 0.000 0.000
0.000 0.500 0.662
0.500 0.000 0.338
0.500 0.500 0.000
```

=====

Sm3AgPt8 | GGA-PBE | relaxed

Computed properties:
- Energy of formation from the pure elements: -11.2 eV/f.u.
- Uncorrected energy: -6.376 eV per atom
- Density of states at the Fermi level: 8.56 states/eV/cell

POSCAR file:
```
Sm3AgPt8
1.0
2.723 1.572 8.891
-2.723 1.572 8.891
0.000 -3.145 8.891
Sm Ag Pt
3 1 8
direct
0.000 0.000 0.000
0.130 0.130 0.130
0.612 0.612 0.612
0.493 0.493 0.493
0.059 0.059 0.564
0.059 0.564 0.059
0.060 0.560 0.560
0.310 0.310 0.310
0.560 0.060 0.560
0.560 0.560 0.060
0.564 0.059 0.059
0.811 0.811 0.811
```

=====

Sm4AgPt3 | GGA-PBE | relaxed

Computed properties:
- Energy of formation from the pure elements: -7.7 eV/f.u.
- Uncorrected energy: -5.949 eV per atom
- Density of states at the Fermi level: 5.16 states/eV/cell

POSCAR file:
```
Sm4AgPt3
1.0
3.865 0.000 0.000
0.000 4.634 0.000
0.000 0.000 10.811
Sm Ag Pt
4 1 3
direct
0.000 0.000 0.000
0.000 0.500 0.265
0.500 0.000 0.481
0.500 0.500 0.767
0.000 0.000 0.710
0.000 0.500 0.544
0.500 0.000 0.216
0.500 0.500 0.039
```

=====

Sm6Ag5Pt | GGA-PBE | relaxed

Computed properties:
- Energy of formation from the pure elements: -5.2 eV/f.u.
- Uncorrected energy: -4.481 eV per atom
- Density of states at the Fermi level: 8.23 states/eV/cell

POSCAR file:
```
Sm6Ag5Pt
1.0
-2.602 3.694 7.803
2.602 -3.694 7.803
2.602 3.694 -7.803
Sm Ag Pt
6 5 1
direct
0.082 0.340 0.742
0.237 0.000 0.237
0.403 0.660 0.742
0.597 0.340 0.258
0.763 0.000 0.763
0.918 0.660 0.258
0.179 0.179 0.000
0.333 0.833 0.500
0.500 0.500 0.000
0.667 0.167 0.500
0.821 0.821 0.000
0.000 0.500 0.500
```

=====

Sm2Ag2Pt | GGA-PBE | relaxed

Computed properties:
- Energy of formation from the pure elements: -2.9 eV/f.u.
- Uncorrected energy: -4.815 eV per atom
- Density of states at the Fermi level: 7.01 states/eV/cell

POSCAR file:
```
Sm2Ag2Pt
1.0
7.957 0.000 0.000
0.000 4.612 0.000
-2.670 0.000 6.634
Sm Ag Pt
4 4 2
direct
0.097 0.000 0.293
0.403 0.500 0.707
0.597 0.500 0.293
0.903 0.000 0.707
0.153 0.500 0.960
0.347 0.000 0.040
0.653 0.000 0.960
0.847 0.500 0.040
0.000 0.500 0.500
0.500 0.000 0.500
```

=====

Sm7Ag2Pt2 | GGA-PBE | relaxed

Computed properties:
- Energy of formation from the pure elements: -4.4 eV/f.u.
- Uncorrected energy: -5.020 eV per atom
- Density of states at the Fermi level: 13.83 states/eV/cell

POSCAR file:
```
Sm7Ag2Pt2
1.0
4.057 -5.556 0.000
4.057 5.556 0.000
0.000 0.000 7.300
Sm Ag Pt
7 2 2
direct
0.000 0.000 0.000
0.000 0.500 0.259
0.000 0.500 0.741
0.500 0.000 0.259
0.500 0.000 0.741
0.500 0.500 0.253
0.500 0.500 0.747
0.177 0.177 0.500
0.823 0.823 0.500
0.287 0.713 0.000
0.713 0.287 0.000
```

=====

Sm3Ag2Pt | GGA-PBE | relaxed

Computed properties:
- Energy of formation from the pure elements: -2.6 eV/f.u.
- Uncorrected energy: -4.750 eV per atom
- Offset from the most stable computed form: 139 meV/atom
- Density of states at the Fermi level: 8.63 states/eV/cell

POSCAR file:
```
Sm3Ag2Pt
1.0
7.012 -3.004 0.000
7.012 3.004 0.000
-2.447 0.000 7.912
Sm Ag Pt
6 4 2
direct
0.001 0.999 0.750
0.352 0.354 0.926
0.354 0.352 0.426
0.646 0.648 0.574
0.648 0.646 0.074
0.999 0.001 0.250
0.176 0.178 0.588
0.178 0.176 0.088
0.822 0.824 0.912
0.824 0.822 0.412
0.499 0.501 0.250
0.501 0.499 0.750
```

=====

Magnetic moment for every record listed, in sequence, given in μB/cell: 4.45, 4.47, 0.00, 0.00, 0.00, 0.00, 0.00, 0.00.